1.
First-principles (GGA-PBEsol) data for InCu2Se after structural relaxation, as listed in the Alexandria database.

Structure (extended XYZ):
```
4
Lattice="3.605 0.000 0.000 0.000 3.827 -0.029 0.000 -1.923 4.946" Properties=species:S:1:pos:R:3 pbc="T T T"
Cu 0.000 0.000 0.000
Se 0.000 -0.961 2.473
In 1.803 1.914 -0.015
Cu 1.803 0.952 2.458
```

Calculated values
VASP energy = -3.748 eV/atom
ΔE_f (raw) = 0.13 eV per atom
density = 7.8 g/cm3

2.
First-principles (GGA-PBEsol) data for In2CuSe4 after structural relaxation, as listed in the Alexandria database.

Structure (extended XYZ):
```
7
Lattice="-1.636 0.122 5.326 -1.919 -5.211 -0.470 6.845 0.533 -0.825" Properties=species:S:1:pos:R:3 pbc="T T T"
Se 3.916 -0.074 2.362
Cu -1.777 -2.544 2.428
In 0.000 0.000 0.000
Se -1.256 -4.076 4.170
In 1.716 -0.944 3.464
Se 3.547 -2.888 -0.002
Se 0.373 -2.073 1.530
```

Calculated values
VASP energy = -4.030 eV/atom
ΔE_f (raw) = -0.36 eV per atom
density = 5.7 g/cm3

3.
First-principles (GGA-PBEsol) data for In5CuSe8 after structural relaxation, as listed in the Alexandria database.

Structure (extended XYZ):
```
14
Lattice="-0.668 -2.242 -5.258 -1.306 -5.094 2.338 -11.090 2.918 0.165" Properties=species:S:1:pos:R:3 pbc="T T T"
Se -8.164 -3.820 -2.119
Se -5.578 -3.244 0.578
Se -5.247 -1.764 -3.366
Cu -6.532 -2.209 -1.377
Se -1.818 -1.700 -0.791
In -3.563 -1.782 1.213
Se -2.697 -4.968 -2.091
Se -7.139 -0.010 -0.603
In 0.000 0.000 0.000
In -8.514 1.031 -2.507
Se -10.664 -0.449 -3.006
In -8.833 -0.395 1.291
Se -10.948 -1.720 0.378
In -3.244 -0.356 -2.586
```

Calculated values
VASP energy = -4.043 eV/atom
ΔE_f (raw) = -0.47 eV per atom
density = 5.5 g/cm3

4.
First-principles (GGA-PBEsol) data for InCuTeSe after structural relaxation, as listed in the Alexandria database.

Structure (extended XYZ):
```
8
Lattice="-3.787 -3.446 -3.051 -0.550 -3.606 4.756 -2.420 6.825 1.118" Properties=species:S:1:pos:R:3 pbc="T T T"
In -3.235 -1.759 0.181
Cu -3.463 1.489 2.617
Cu -1.676 -1.796 4.110
Te -3.139 -4.538 0.289
Se -3.404 -0.913 2.691
Se -1.460 2.409 1.657
Te -1.474 -4.317 3.795
In -5.141 1.611 -1.261
```

Calculated values
VASP energy = -3.970 eV/atom
ΔE_f (raw) = -0.30 eV per atom
density = 6.0 g/cm3

5.
First-principles (GGA-PBEsol) data for InCuSi2 after structural relaxation, as listed in the Alexandria database.

Structure (extended XYZ):
```
4
Lattice="-1.181 -0.870 3.436 3.192 -1.835 0.632 0.936 5.304 -0.366" Properties=species:S:1:pos:R:3 pbc="T T T"
Cu 1.006 -1.353 2.034
Si 2.567 1.058 1.150
Si 0.380 1.541 2.552
In 0.000 0.000 0.000
```

Calculated values
VASP energy = -4.320 eV/atom
ΔE_f (raw) = 0.38 eV per atom
density = 5.9 g/cm3

6.
First-principles (GGA-PBEsol) data for InCuSi2 after structural relaxation, as listed in the Alexandria database.

Structure (extended XYZ):
```
4
Lattice="-1.632 1.245 -1.903 -0.913 -2.504 -0.855 -6.399 0.374 5.733" Properties=species:S:1:pos:R:3 pbc="T T T"
In -4.472 -0.442 1.488
Si -5.183 0.303 4.644
Si -1.216 0.071 1.089
Cu -1.272 -0.630 -1.379
```

Calculated values
VASP energy = -4.415 eV/atom
ΔE_f (raw) = 0.29 eV per atom
density = 5.8 g/cm3

7.
First-principles (GGA-PBEsol) data for InCu2Si after structural relaxation, as listed in the Alexandria database.

Structure (extended XYZ):
```
4
Lattice="2.709 0.000 0.006 0.000 3.625 0.000 -0.013 0.000 6.013" Properties=species:S:1:pos:R:3 pbc="T T T"
In 1.348 1.813 3.009
Cu -0.010 0.000 4.771
Si 1.354 1.813 0.003
Cu 2.705 0.000 1.248
```

Calculated values
VASP energy = -4.198 eV/atom
ΔE_f (raw) = 0.15 eV per atom
density = 7.6 g/cm3

8.
First-principles (GGA-PBEsol) data for InCu2Si after structural relaxation, as listed in the Alexandria database.

Structure (extended XYZ):
```
4
Lattice="2.951 0.000 0.000 1.476 2.556 0.000 1.476 0.852 7.938" Properties=species:S:1:pos:R:3 pbc="T T T"
Cu 4.427 2.556 6.182
In 2.951 1.704 3.969
Si 0.000 0.000 0.000
Cu 1.476 0.852 1.756
```

Calculated values
VASP energy = -4.214 eV/atom
ΔE_f (raw) = 0.14 eV per atom
density = 7.5 g/cm3

9.
First-principles (GGA-PBEsol) data for InCuSi2 after structural relaxation, as listed in the Alexandria database.

Structure (extended XYZ):
```
4
Lattice="-3.373 -0.853 -1.327 -1.020 -3.565 -0.340 -3.639 -1.372 4.910" Properties=species:S:1:pos:R:3 pbc="T T T"
Cu -4.143 -2.889 1.940
Si -3.478 -1.379 4.504
In -2.065 -1.445 0.953
Si -6.002 -4.343 2.377
```

Calculated values
VASP energy = -4.495 eV/atom
ΔE_f (raw) = 0.21 eV per atom
density = 5.5 g/cm3

10.
First-principles (GGA-PBEsol) data for Y2InCuSi after structural relaxation, as listed in the Alexandria database.

Structure (extended XYZ):
```
5
Lattice="4.279 0.000 0.000 0.000 5.250 0.000 0.000 0.000 5.250" Properties=species:S:1:pos:R:3 pbc="T T T"
Cu 0.000 0.000 0.000
In 2.139 2.625 2.625
Si 2.139 0.000 0.000
Y 0.000 0.000 2.625
Y 0.000 2.625 0.000
```

Calculated values
VASP energy = -5.490 eV/atom
ΔE_f (raw) = -0.15 eV per atom
density = 5.4 g/cm3

11.
First-principles (GGA-PBEsol) data for SmIn7Cu5 after structural relaxation, as listed in the Alexandria database.

Structure (extended XYZ):
```
13
Lattice="-0.653 -4.464 -3.190 4.831 -5.063 1.310 -4.334 -4.852 2.891" Properties=species:S:1:pos:R:3 pbc="T T T"
Cu -0.056 -3.513 0.142
Cu -2.759 -6.862 -1.726
In -0.095 -10.891 0.903
Cu -2.443 -4.697 -0.179
In -0.265 -6.301 -0.700
Sm 0.496 -9.914 4.200
In 0.100 -8.032 1.648
In 1.710 -4.920 1.749
Cu 2.030 -4.799 -0.950
In -2.876 -7.200 1.092
In -1.244 -4.852 2.259
Cu 1.713 -6.964 -2.497
In 2.751 -7.329 0.122
```

Calculated values
VASP energy = -3.798 eV/atom
energy of formation = -0.133 eV per atom
density = 8.9 g/cm3

12.
First-principles (GGA-PBEsol) data for SmIn6Cu6 after structural relaxation, as listed in the Alexandria database.

Structure (extended XYZ):
```
13
Lattice="-0.473 2.188 -4.854 5.225 -1.818 -4.271 -3.585 -4.055 -4.422" Properties=species:S:1:pos:R:3 pbc="T T T"
In -0.611 -3.300 -4.371
Sm 0.000 0.000 0.000
In 1.016 -3.299 -10.414
Cu 2.913 -1.251 -6.733
In 0.252 -0.579 -6.171
Cu 2.613 -0.909 -2.136
Cu -2.029 -0.934 -4.638
Cu 2.376 0.185 -4.562
In 2.251 -2.573 -4.322
In 0.152 -0.387 -3.132
Cu -1.745 -2.434 -6.813
Cu -1.793 -2.028 -2.211
In 0.915 -3.107 -7.375
```

Calculated values
VASP energy = -3.951 eV/atom
energy of formation = -0.183 eV per atom
density = 9.1 g/cm3